Material: Ca2TcPb
Method: DFT, PBE
State: optimized geometry

Structure (extended XYZ):
```
4
Lattice="1.7042 0.9839 10.2182 -1.7042 0.9839 10.2182 0.0000 -1.9679 10.2182" Properties=species:S:1:pos:R:3 pbc="T T T"
Ca 0.0000 0.0000 7.3424
Ca 0.0000 0.0000 23.3123
Tc 0.0000 0.0000 15.3274
Pb 0.0000 0.0000 0.0000
```

Output
total energy	-4.1766	eV/atom
formation energy from the elements	0.343	eV/atom


Material: Ca2TcPb
Method: DFT, PBE
State: optimized geometry

Structure (extended XYZ):
```
4
Lattice="4.5735 0.0000 0.0000 0.0000 2.0708 5.8297 0.0000 -2.0708 5.8297" Properties=species:S:1:pos:R:3 pbc="T T T"
Ca 0.0000 0.0000 0.0000
Ca 2.2868 0.0000 3.4888
Tc 0.0000 0.0000 8.3110
Pb 2.2868 0.0000 6.8397
```

Output
total energy	-4.2991	eV/atom
formation energy from the elements	0.220	eV/atom


Material: Ca2TcPb
Method: DFT, PBE
State: optimized geometry

Structure (extended XYZ):
```
8
Lattice="-4.9898 4.9898 2.6955 4.9898 -4.9898 2.6955 4.9898 4.9898 -2.6955" Properties=species:S:1:pos:R:3 pbc="T T T"
Ca 1.0708 2.4949 0.6739
Ca -2.4949 3.9190 2.0216
Ca -1.0708 7.4848 0.6739
Ca 2.4949 6.0607 2.0216
Tc 0.0000 0.0000 0.0000
Tc 0.0000 4.9898 1.3478
Pb 4.9898 0.0000 1.3478
Pb 0.0000 0.0000 2.6955
```

Output
total energy	-4.0626	eV/atom
formation energy from the elements	0.457	eV/atom